# 1
## PmNd2Ni (PBE-GGA)

Data for a geometry-optimized PmNd2Ni structure.

Lattice parameters (Å, degrees): 7.046 10.007 6.492 90.00 90.00 90.00
Space group Pnma (No. 62)
Inequivalent atoms, fractional coordinates:
Pm 0.034 0.250 0.146 x4
Nd 0.177 0.067 0.674 x8
Ni 0.114 0.750 0.435 x4

The volume comes out at 458 Å³ per cell. The calculation puts the total energy at -5.1915 eV per atom. The value obtained for the formation energy from the elements is -174.6 meV/atom. For the total magnetic moment, the calculation gives 0.0 μB per formula unit. The relative energy among the computed polymorphs comes out at 0 meV/atom.

=====

# 2
## Pm2NdNi (PBE-GGA)

Data for a geometry-optimized Pm2NdNi structure.

Lattice parameters (Å, degrees): 3.536 3.536 8.997 90.00 90.00 90.00
Space group P4/mmm (No. 123)
Inequivalent atoms, fractional coordinates:
Pm 0.000 0.000 0.183 x2
Nd 0.500 0.500 0.500 x1
Ni 0.500 0.500 0.000 x1

The volume comes out at 112 Å³ per cell. The calculation puts the total energy at -5.1106 eV per atom. The value obtained for the formation energy from the elements is -98.0 meV/atom. For the total magnetic moment, the calculation gives 0.0 μB per formula unit. The relative energy among the computed polymorphs comes out at 83 meV/atom.

=====

# 3
## PmNd2Ni (PBE-GGA)

Data for a geometry-optimized PmNd2Ni structure.

Lattice parameters (Å, degrees): 3.560 3.560 8.948 90.00 90.00 90.00
Space group P4/mmm (No. 123)
Inequivalent atoms, fractional coordinates:
Pm 0.000 0.000 0.000 x1
Nd 0.500 0.500 0.314 x2
Ni 0.000 0.000 0.500 x1

The volume comes out at 113 Å³ per cell. The calculation puts the total energy at -5.0900 eV per atom. The value obtained for the formation energy from the elements is -73.1 meV/atom. For the total magnetic moment, the calculation gives 0.0 μB per formula unit. The relative energy among the computed polymorphs comes out at 101 meV/atom.

=====

# 4
## PmNd3Ni (PBE-GGA)

Data for a geometry-optimized PmNd3Ni structure.

Lattice parameters (Å, degrees): 5.496 5.496 5.496 90.00 90.00 90.00
Space group Pm-3m (No. 221)
Inequivalent atoms, fractional coordinates:
Pm 0.000 0.000 0.000 x1
Nd 0.000 0.500 0.500 x3
Ni 0.500 0.500 0.500 x1

The volume comes out at 166 Å³ per cell. The calculation puts the total energy at -4.9362 eV per atom. The value obtained for the formation energy from the elements is 30.9 meV/atom. For the total magnetic moment, the calculation gives 0.0 μB per formula unit. The relative energy among the computed polymorphs comes out at 150 meV/atom.

=====

Which formula does entry 2 have?
Pm2NdNi

=====

Look up the relative energy among the computed polymorphs of the fourth one.
150 meV/atom

=====

Which value of total energy does entry 2 give?
-5.1106 eV per atom